Record 1
Below is an optimized crystal structure of BeRe2F, with properties calculated at the GGA-PBE level.

SG ... Fm-3m
Formation energy (no corrections) ... 0.54 eV/atom
Total energy ... -7.09 eV per atom
Density of states at the Fermi level ... 5.74 states/eV/cell
Total moment ... 0.00 μB/atom
Volume ... 11.774 A^3/atom

Lattice parameters (Å, degrees): 4.053 4.053 4.053 60.00 60.00 60.00
Element x y z (fractional)
F: 0.500 0.500 0.500
Re: 0.250 0.250 0.250
Re: 0.750 0.750 0.750
Be: 0.000 0.000 0.000

---

Record 2
Below is an optimized crystal structure of Y3GeBi, with properties calculated at the GGA-PBE level.

Formation enthalpy at 0 K ... -0.447 eV per atom
SG ... Pm-3m
Total energy ... -6.03 eV per atom
Density of states at the Fermi level ... 4.60 states/eV/cell
Total moment ... 0.00 μB/atom
Volume ... 31.708 A^3/atom

Lattice parameters (Å, degrees): 5.412 5.412 5.412 90.00 90.00 90.00
Element x y z (fractional)
Y: 0.000 0.500 0.000
Y: 0.000 0.000 0.500
Y: 0.500 0.000 0.000
Bi: 0.500 0.500 0.500
Ge: 0.000 0.000 0.000

---

Record 3
Below is an optimized crystal structure of ThSc2Cu, with properties calculated at the GGA-PBE level.

Formation enthalpy at 0 K ... -0.109 eV per atom
SG ... P4/mmm
Total energy ... -6.15 eV per atom
Density of states at the Fermi level ... 4.44 states/eV/cell
Total moment ... 0.00 μB/atom
Volume ... 22.604 A^3/atom

Lattice parameters (Å, degrees): 3.369 3.369 7.966 90.00 90.00 90.00
Element x y z (fractional)
Th: 0.500 0.500 0.500
Cu: 0.500 0.500 0.000
Sc: 0.000 0.000 0.805
Sc: 0.000 0.000 0.195

---

Record 4
Below is an optimized crystal structure of Sm4ZnPt, with properties calculated at the GGA-PBE level.

Formation enthalpy at 0 K ... -0.525 eV per atom
SG ... F-43m
Total energy ... -4.89 eV per atom
Density of states at the Fermi level ... 16.33 states/eV/cell
Total moment ... 0.00 μB/atom
Volume ... 27.405 A^3/atom

Lattice parameters (Å, degrees): 9.762 9.762 9.762 60.00 60.00 60.00
Element x y z (fractional)
Zn: 0.490 0.170 0.170
Zn: 0.170 0.490 0.170
Zn: 0.170 0.170 0.490
Zn: 0.170 0.170 0.170
Pt: 0.605 0.184 0.605
Pt: 0.605 0.605 0.184
Pt: 0.605 0.605 0.605
Pt: 0.184 0.605 0.605
Sm: 0.186 0.814 0.186
Sm: 0.394 0.394 0.394
Sm: 0.557 0.943 0.557
Sm: 0.943 0.557 0.943
Sm: 0.814 0.186 0.814
Sm: 0.818 0.394 0.394
Sm: 0.557 0.943 0.943
Sm: 0.394 0.394 0.818
Sm: 0.943 0.557 0.557
Sm: 0.814 0.814 0.186
Sm: 0.394 0.818 0.394
Sm: 0.186 0.186 0.814
Sm: 0.943 0.943 0.557
Sm: 0.814 0.186 0.186
Sm: 0.186 0.814 0.814
Sm: 0.557 0.557 0.943

---

no.,energy above the most stable polymorph in this dataset (meV per atom)
1,0
2,268
3,0
4,0